DFT (PBE) results for an optimized crystal structure of Zr2MoIrN.

## Properties
The total magnetization is 0.000 μB/f.u. The density of states at the Fermi level is 0.936 states/eV/atom. The energy relative to the elements, uncorrected comes out at -758 meV/atom.

Cell lengths 4.5168, 4.5168, 3.9554 Å; angles 90.00, 90.00, 90.00 degrees
Space group P4/mmm (No. 123)
Inequivalent atoms, fractional coordinates:
Zr1 0.0000 0.5000 0.0000
Mo1 0.0000 0.0000 0.5000
Ir1 0.5000 0.5000 0.5000
N1 0.0000 0.0000 0.0000